Record 1
Material: PaCd4B3Pt12
Method: DFT, GGA-PBE
State: relaxed

abc: 7.744 7.744 7.744
angles: 109.47 109.47 109.47
Atoms (fractional coordinates):
Pa 0.000 0.000 0.000
Cd 0.000 0.000 0.500
Cd 0.000 0.500 0.000
Cd 0.500 0.000 0.000
Cd 0.500 0.500 0.500
B 0.000 0.500 0.500
B 0.500 0.000 0.500
B 0.500 0.500 0.000
Pt 0.000 0.282 0.282
Pt 0.000 0.718 0.718
Pt 0.250 0.500 0.750
Pt 0.250 0.750 0.500
Pt 0.282 0.000 0.282
Pt 0.282 0.282 0.000
Pt 0.500 0.250 0.750
Pt 0.500 0.750 0.250
Pt 0.718 0.000 0.718
Pt 0.718 0.718 0.000
Pt 0.750 0.250 0.500
Pt 0.750 0.500 0.250

Crystal system   cubic
Total moment   0.00 Bohr magnetons per cell
Energy relative to the elements   38.4 meV/atom

Record 2
Material: CdBPb3
Method: DFT, GGA-PBE
State: relaxed

abc: 5.655 5.655 5.655
angles: 90.00 90.00 90.00
Atoms (fractional coordinates):
Cd 0.000 0.000 0.000
B 0.500 0.500 0.500
Pb 0.000 0.000 0.500
Pb 0.000 0.500 0.000
Pb 0.500 0.000 0.000

Crystal system   cubic
Total moment   0.00 Bohr magnetons per cell
Polymorph energy (0 for the lowest one)   790 meV per atom
Energy relative to the elements   1411.1 meV/atom

Record 3
Material: CdBPb2
Method: DFT, GGA-PBE
State: relaxed

abc: 5.141 5.141 5.141
angles: 60.00 60.00 60.00
Atoms (fractional coordinates):
Cd 0.000 0.000 0.000
B 0.500 0.500 0.500
Pb 0.250 0.250 0.250
Pb 0.750 0.750 0.750

Crystal system   cubic
Total moment   0.00 Bohr magnetons per cell
Polymorph energy (0 for the lowest one)   239 meV per atom
Energy relative to the elements   929.2 meV/atom

Record 4
Material: CdBPb3
Method: DFT, GGA-PBE
State: relaxed

abc: 5.134 5.134 5.134
angles: 90.00 90.00 90.00
Atoms (fractional coordinates):
Cd 0.000 0.000 0.000
B 0.500 0.500 0.500
Pb 0.000 0.500 0.500
Pb 0.500 0.000 0.500
Pb 0.500 0.500 0.000

Crystal system   cubic
Total moment   0.00 Bohr magnetons per cell
Polymorph energy (0 for the lowest one)   0 meV per atom
Energy relative to the elements   620.6 meV/atom

Question: The highest energy relative to the elements belongs to which entry?
Answer: number 2

Copy entry 1 word for word.
Material: PaCd4B3Pt12
Method: DFT, GGA-PBE
State: relaxed

abc: 7.744 7.744 7.744
angles: 109.47 109.47 109.47
Atoms (fractional coordinates):
Pa 0.000 0.000 0.000
Cd 0.000 0.000 0.500
Cd 0.000 0.500 0.000
Cd 0.500 0.000 0.000
Cd 0.500 0.500 0.500
B 0.000 0.500 0.500
B 0.500 0.000 0.500
B 0.500 0.500 0.000
Pt 0.000 0.282 0.282
Pt 0.000 0.718 0.718
Pt 0.250 0.500 0.750
Pt 0.250 0.750 0.500
Pt 0.282 0.000 0.282
Pt 0.282 0.282 0.000
Pt 0.500 0.250 0.750
Pt 0.500 0.750 0.250
Pt 0.718 0.000 0.718
Pt 0.718 0.718 0.000
Pt 0.750 0.250 0.500
Pt 0.750 0.500 0.250

Crystal system   cubic
Total moment   0.00 Bohr magnetons per cell
Energy relative to the elements   38.4 meV/atom

Question: energy relative to the elements of number 2 (CdBPb3)?
Answer: 1411.1 meV/atom

Question: What is the formula in the fourth record?
Answer: CdBPb3